NaIn4Ni | Alexandria | GGA-PBE | relaxed; total magnetization = 0.000 μB per cell; ΔE to the lowest computed polymorph = 37 meV per atom; energy relative to the elements = -0.06 eV/atom; D(E_F) = 6.2 states/eV/cell
1.0
5.006 0.001 -1.236
-0.620 6.830 -2.507
-0.430 -0.647 8.977
In Na Ni
8 2 2
direct
0.838 0.337 0.674
0.000 0.808 0.000
0.162 0.663 0.326
0.613 0.369 0.226
0.387 0.631 0.774
0.000 0.192 0.000
0.613 0.858 0.226
0.387 0.142 0.774
0.200 0.200 0.401
0.800 0.800 0.599
0.743 0.500 0.999
0.257 0.500 0.001

Na2In2Ni | Alexandria | GGA-PBE | relaxed; total magnetization = 0.000 μB per cell; energy relative to the elements = 0.03 eV/atom; D(E_F) = 4.7 states/eV/cell
1.0
-4.789 -2.278 -4.309
-4.045 -1.514 5.295
-2.147 4.942 -0.227
Na In Ni
4 4 2
direct
0.672 0.828 0.500
0.172 0.672 0.500
0.328 0.172 0.500
0.828 0.328 0.500
0.164 0.336 0.000
0.664 0.164 0.000
0.336 0.836 0.000
0.836 0.664 0.000
0.000 0.000 0.000
0.500 0.500 0.000

NaIn2Ni2 | Alexandria | GGA-PBE | relaxed; total magnetization = 0.000 μB per cell; ΔE to the lowest computed polymorph = 45 meV per atom; energy relative to the elements = -0.03 eV/atom; D(E_F) = 6.6 states/eV/cell
1.0
-1.603 -3.634 6.741
7.338 1.243 2.415
-0.815 2.534 1.172
Ni In Na
4 4 2
direct
0.652 0.848 0.500
0.348 0.152 0.500
0.848 0.348 0.500
0.152 0.652 0.500
0.356 0.856 0.000
0.644 0.144 0.000
0.856 0.644 0.000
0.144 0.356 0.000
0.500 0.500 0.000
0.000 0.000 0.000

Na2In4Ni | Alexandria | GGA-PBE | relaxed; total magnetization = 0.000 μB per cell; energy relative to the elements = 0.00 eV/atom; D(E_F) = 3.2 states/eV/cell
1.0
-3.555 -1.030 3.285
3.381 -1.929 3.055
1.155 8.836 0.294
In Ni Na
4 1 2
direct
0.000 0.500 0.000
0.843 0.843 0.686
0.500 0.000 0.000
0.157 0.157 0.314
0.000 0.000 0.000
0.653 0.653 0.306
0.347 0.347 0.694

NaIn2Ni2 | Alexandria | GGA-PBE | relaxed; total magnetization = 0.000 μB per cell; ΔE to the lowest computed polymorph = 141 meV per atom; energy relative to the elements = 0.07 eV/atom; D(E_F) = 3.0 states/eV/cell
1.0
4.661 0.000 0.000
0.000 4.661 0.000
2.330 2.330 4.626
In Na Ni
2 1 2
direct
0.750 0.250 0.500
0.250 0.750 0.500
0.000 0.000 0.000
0.377 0.377 0.246
0.623 0.623 0.754

NaInNi4 | Alexandria | GGA-PBE | relaxed; total magnetization = 1.686 μB per cell; energy relative to the elements = 0.05 eV/atom; D(E_F) = 6.6 states/eV/cell
1.0
-1.349 4.097 2.357
-4.757 0.883 0.867
-1.754 -0.266 4.584
Ni In Na
4 1 1
direct
0.625 0.625 0.124
0.124 0.625 0.625
0.625 0.124 0.625
0.625 0.625 0.625
0.000 0.000 0.000
0.250 0.250 0.250

Na2InNi | Alexandria | GGA-PBE | relaxed; total magnetization = 0.000 μB per cell; energy relative to the elements = 0.29 eV/atom; D(E_F) = 4.3 states/eV/cell
1.0
-0.010 -0.216 3.913
2.482 -3.028 -0.160
9.766 5.348 2.283
Na In Ni
4 2 2
direct
0.138 0.625 0.250
0.875 0.862 0.750
0.612 0.125 0.250
0.375 0.388 0.750
0.000 0.000 0.000
0.750 0.250 0.500
0.250 0.750 0.500
0.500 0.500 0.000

Na2In5Ni2 | Alexandria | GGA-PBE | relaxed; total magnetization = 0.000 μB per cell; energy relative to the elements = -0.05 eV/atom; D(E_F) = 14.0 states/eV/cell
1.0
-4.993 3.345 3.618
-4.380 -5.490 -0.970
0.353 -1.876 9.023
Na In Ni
4 10 4
direct
0.274 0.500 0.453
0.226 0.000 0.547
0.726 0.500 0.547
0.774 0.000 0.453
0.735 0.342 0.210
0.556 0.842 0.210
0.444 0.158 0.790
0.235 0.158 0.210
0.944 0.342 0.790
0.765 0.842 0.790
0.265 0.658 0.790
0.500 0.500 0.000
0.056 0.658 0.210
0.000 0.000 0.000
0.635 0.139 0.000
0.865 0.639 0.000
0.135 0.361 0.000
0.365 0.861 0.000

Na3InNi | Alexandria | GGA-PBE | relaxed; total magnetization = 0.000 μB per cell; ΔE to the lowest computed polymorph = 407 meV per atom; energy relative to the elements = 0.88 eV/atom; D(E_F) = 7.2 states/eV/cell
1.0
5.735 0.000 0.000
0.000 5.735 0.000
0.000 0.000 5.735
Na In Ni
3 1 1
direct
0.000 0.500 0.000
0.000 0.000 0.500
0.500 0.000 0.000
0.000 0.000 0.000
0.500 0.500 0.500

Na2In8Ni | Alexandria | GGA-PBE | relaxed; total magnetization = 0.000 μB per cell; energy relative to the elements = -0.09 eV/atom; D(E_F) = 4.1 states/eV/cell
1.0
4.660 0.000 0.000
0.000 4.660 0.000
0.000 0.000 12.346
In Na Ni
8 2 1
direct
0.500 0.000 0.879
0.500 0.500 0.691
0.000 0.500 0.500
0.000 0.500 0.879
0.500 0.500 0.309
0.000 0.500 0.121
0.500 0.000 0.121
0.500 0.000 0.500
0.000 0.000 0.692
0.000 0.000 0.308
0.000 0.000 0.000

NaIn4Ni | Alexandria | GGA-PBE | relaxed; total magnetization = 0.000 μB per cell; ΔE to the lowest computed polymorph = 0 meV per atom; energy relative to the elements = -0.10 eV/atom; D(E_F) = 6.4 states/eV/cell
1.0
-0.428 -4.312 0.773
3.617 0.823 6.594
-7.135 3.576 3.467
In Na Ni
8 2 2
direct
0.689 0.952 0.378
0.311 0.452 0.622
0.689 0.548 0.378
0.500 0.500 0.000
0.072 0.750 0.143
0.500 0.000 0.000
0.928 0.250 0.857
0.311 0.048 0.622
0.127 0.250 0.253
0.873 0.750 0.747
0.226 0.750 0.452
0.774 0.250 0.548

NaIn6Ni | Alexandria | GGA-PBE | relaxed; total magnetization = 0.000 μB per cell; energy relative to the elements = 0.02 eV/atom; D(E_F) = 3.9 states/eV/cell
1.0
4.441 0.000 0.000
0.000 6.614 -0.652
0.000 -0.232 6.642
In Ni Na
6 1 1
direct
0.000 0.794 0.575
0.500 0.130 0.396
0.000 0.884 0.116
0.500 0.604 0.870
0.000 0.425 0.206
0.000 0.328 0.672
0.500 0.731 0.269
0.500 0.104 0.896

NaInNi3 | Alexandria | GGA-PBE | relaxed; total magnetization = 0.000 μB per cell; ΔE to the lowest computed polymorph = 0 meV per atom; energy relative to the elements = 0.93 eV/atom; D(E_F) = 3.4 states/eV/cell
1.0
-3.623 3.124 -0.070
-3.004 -3.512 -1.237
-0.859 -0.893 4.621
In Ni Na
1 3 1
direct
0.000 0.000 0.000
0.500 0.000 0.000
0.000 0.000 0.500
0.000 0.500 0.000
0.500 0.500 0.500

NaIn5Ni | Alexandria | GGA-PBE | relaxed; total magnetization = 0.000 μB per cell; energy relative to the elements = -0.09 eV/atom; D(E_F) = 2.2 states/eV/cell
1.0
-2.086 3.361 -2.354
-4.069 -1.353 1.674
0.891 4.772 6.022
In Ni Na
5 1 1
direct
0.500 0.000 0.304
0.500 0.000 0.696
0.000 0.500 0.696
0.500 0.500 0.000
0.000 0.500 0.304
0.000 0.000 0.500
0.000 0.000 0.000

NaIn2Ni2 | Alexandria | GGA-PBE | relaxed; total magnetization = 0.000 μB per cell; ΔE to the lowest computed polymorph = 0 meV per atom; energy relative to the elements = -0.07 eV/atom; D(E_F) = 5.8 states/eV/cell
1.0
-0.616 -1.368 -7.475
-1.123 -7.400 1.447
-2.972 0.482 0.157
Na In Ni
2 4 4
direct
0.500 0.500 0.000
0.000 0.000 0.000
0.164 0.664 0.500
0.836 0.336 0.500
0.336 0.164 0.500
0.664 0.836 0.500
0.370 0.870 0.000
0.630 0.130 0.000
0.870 0.630 0.000
0.130 0.370 0.000

Na2In6Ni | Alexandria | GGA-PBE | relaxed; total magnetization = 0.000 μB per cell; ΔE to the lowest computed polymorph = 0 meV per atom; energy relative to the elements = -0.07 eV/atom; D(E_F) = 4.5 states/eV/cell
1.0
-0.960 3.987 -4.032
-5.702 -3.141 -1.744
-5.804 1.639 3.008
Ni In Na
1 6 2
direct
0.000 0.000 0.000
0.287 0.346 0.827
0.713 0.173 0.654
0.713 0.654 0.173
0.287 0.827 0.827
0.287 0.827 0.346
0.713 0.173 0.173
0.209 0.333 0.333
0.791 0.667 0.667